Version 1
DFT (GGA-PBE) results for TaRuPt2 after structural relaxation.

Computed properties:
size of the total moment: 0.00 μB per atom

abc: 9.3721 9.3721 9.3721
angles: 17.20 17.20 17.20
Atoms (fractional coordinates):
Ta  0.0000  0.0000  0.0000
Ru  0.5000  0.5000  0.5000
Pt  0.2493  0.2493  0.2493
Pt  0.7507  0.7507  0.7507


Version 2
DFT (GGA-PBE) results for TaRuPt2 after structural relaxation.

Computed properties:
size of the total moment: 0.00 μB per atom

abc: 4.8780 4.8780 2.8214
angles: 90.00 90.00 111.67
Atoms (fractional coordinates):
Ta  0.0000  0.0000  0.0000
Ru  0.5000  0.5000  0.0000
Pt  0.0000  0.5000  0.5000
Pt  0.5000  0.0000  0.5000


version 2 wins, 240 meV/atom ahead of the next structure.


Version 1
DFT (GGA-PBE) results for TaRuPt2 after structural relaxation.

Computed properties:
size of the total moment: 0.00 μB per atom

abc: 4.8872 4.8872 4.7716
angles: 100.29 100.29 34.09
Atoms (fractional coordinates):
Ta  0.0000  0.0000  0.0000
Ru  0.5000  0.5000  0.5000
Pt  0.2484  0.2484  0.7467
Pt  0.7516  0.7516  0.2533


Version 2
DFT (GGA-PBE) results for TaRuPt2 after structural relaxation.

Computed properties:
size of the total moment: 0.10 μB per atom

abc: 4.4784 4.4784 4.4784
angles: 60.00 60.00 60.00
Atoms (fractional coordinates):
Ta  0.0000  0.0000  0.0000
Ru  0.7500  0.7500  0.7500
Pt  0.2500  0.2500  0.2500
Pt  0.5000  0.5000  0.5000


version 1 wins, 48 meV/atom ahead of the next structure.


Version 1
DFT (GGA-PBE) results for TaRuPt2 after structural relaxation.

Computed properties:
size of the total moment: 0.00 μB per atom

abc: 2.7978 2.7978 8.0507
angles: 90.00 90.00 90.00
Atoms (fractional coordinates):
Ta  0.0000  0.0000  0.0000
Ru  0.5000  0.5000  0.7529
Pt  0.0000  0.0000  0.5142
Pt  0.5000  0.5000  0.2500


Version 2
DFT (GGA-PBE) results for TaRuPt2 after structural relaxation.

Computed properties:
size of the total moment: 0.00 μB per atom

abc: 4.8684 4.8684 4.8816
angles: 99.71 99.71 33.43
Atoms (fractional coordinates):
Ta  0.0000  0.0000  0.0000
Ru  0.7449  0.7449  0.2561
Pt  0.2510  0.2510  0.7542
Pt  0.4935  0.4935  0.4925


Version 3
DFT (GGA-PBE) results for TaRuPt2 after structural relaxation.

Computed properties:
size of the total moment: 0.00 μB per atom

abc: 4.8278 4.8278 4.8278
angles: 131.19 131.19 71.51
Atoms (fractional coordinates):
Ta  0.0000  0.0000  0.0000
Ru  0.2500  0.7500  0.5000
Pt  0.5000  0.5000  0.0000
Pt  0.7500  0.2500  0.5000


Version 4
DFT (GGA-PBE) results for TaRuPt2 after structural relaxation.

Computed properties:
size of the total moment: 0.05 μB per atom

abc: 4.4933 4.4933 4.4933
angles: 60.00 60.00 60.00
Atoms (fractional coordinates):
Ta  0.0000  0.0000  0.0000
Ru  0.5000  0.5000  0.5000
Pt  0.2500  0.2500  0.2500
Pt  0.7500  0.7500  0.7500


version 3 wins, 151 meV/atom ahead of the next structure.


Version 1
DFT (GGA-PBE) results for TaRuPt4 after structural relaxation.

Computed properties:
size of the total moment: 0.19 μB per atom

abc: 5.1859 5.1859 5.1859
angles: 60.00 60.00 60.00
Atoms (fractional coordinates):
Ta  0.0000  0.0000  0.0000
Ru  0.2500  0.2500  0.2500
Pt  0.1260  0.6247  0.6247
Pt  0.6247  0.1260  0.6247
Pt  0.6247  0.6247  0.1260
Pt  0.6247  0.6247  0.6247


Version 2
DFT (GGA-PBE) results for TaRuPt4 after structural relaxation.

Computed properties:
size of the total moment: 0.00 μB per atom

abc: 8.1039 8.1039 4.5746
angles: 90.00 90.00 139.99
Atoms (fractional coordinates):
Ta  0.1972  0.8028  0.7500
Ta  0.8028  0.1972  0.2500
Ru  0.3029  0.6971  0.2500
Ru  0.6971  0.3029  0.7500
Pt  0.1079  0.3969  0.7500
Pt  0.2091  0.2966  0.2500
Pt  0.2966  0.2091  0.7500
Pt  0.3969  0.1079  0.2500
Pt  0.6031  0.8921  0.7500
Pt  0.7034  0.7909  0.2500
Pt  0.7909  0.7034  0.7500
Pt  0.8921  0.6031  0.2500


version 2 wins, 356 meV/atom ahead of the next structure.


Version 1
DFT (GGA-PBE) results for TaRuPt after structural relaxation.

Computed properties:
size of the total moment: 0.00 μB per atom

abc: 6.2931 6.2931 6.2931
angles: 150.95 119.65 68.35
Atoms (fractional coordinates):
Ta  0.0000  0.0000  0.0000
Ta  0.5000  0.0000  0.5000
Ru  0.3918  0.6418  0.7500
Ru  0.6082  0.3582  0.2500
Pt  0.1082  0.3582  0.7500
Pt  0.8918  0.6418  0.2500


Version 2
DFT (GGA-PBE) results for TaRuPt after structural relaxation.

Computed properties:
size of the total moment: 0.00 μB per atom

abc: 6.2015 6.2015 6.2015
angles: 153.42 153.42 37.95
Atoms (fractional coordinates):
Ta  0.0000  0.0000  0.0000
Ru  0.6567  0.6567  0.0000
Pt  0.3300  0.3300  0.0000


version 2 wins, 91 meV/atom ahead of the next structure.


Version 1
DFT (GGA-PBE) results for TaRuPt after structural relaxation.

Computed properties:
size of the total moment: 0.00 μB per atom

abc: 4.4816 4.4816 2.7582
angles: 90.00 90.00 120.00
Atoms (fractional coordinates):
Ta  0.0000  0.0000  0.0000
Ru  0.6667  0.3333  0.7072
Pt  0.3333  0.6667  0.2406


Version 2
DFT (GGA-PBE) results for TaRuPt after structural relaxation.

Computed properties:
size of the total moment: 0.00 μB per atom

abc: 4.2965 4.2965 4.2965
angles: 60.00 60.00 60.00
Atoms (fractional coordinates):
Ta  0.0000  0.0000  0.0000
Ru  0.2500  0.2500  0.2500
Pt  0.5000  0.5000  0.5000


Version 3
DFT (GGA-PBE) results for TaRuPt after structural relaxation.

Computed properties:
size of the total moment: 0.17 μB per atom

abc: 5.0832 5.0832 5.0832
angles: 142.37 142.37 54.28
Atoms (fractional coordinates):
Ta  0.0000  0.0000  0.0000
Ru  0.6441  0.6441  0.0000
Pt  0.3343  0.3343  0.0000


version 3 wins, 66 meV/atom ahead of the next structure.